(1)
First-principles (PBE-GGA) data for an optimized crystal structure of VReSN2, as listed in Alexandria.

a b c (Å): 3.590 3.590 4.657
angles (deg): 90.00 90.00 90.00
Positions (direct):
V (0.000, 0.000, 0.000)
Re (0.500, 0.500, 0.000)
S (0.500, 0.500, 0.500)
N (0.000, 0.500, 0.500)
N (0.500, 0.000, 0.500)

Summary:
Offset from the most stable computed form   1278 meV/atom
ΔE_f (raw)   1.929 eV/atom



(2)
First-principles (PBE-GGA) data for an optimized crystal structure of Na2SrHfF8, as listed in Alexandria.

a b c (Å): 3.828 7.820 5.643
angles (deg): 90.00 90.17 90.00
Positions (direct):
Na (0.000, 0.240, 0.000)
Na (0.000, 0.760, 0.000)
Sr (0.500, 0.000, 0.500)
Hf (0.500, 0.500, 0.500)
F (0.000, 0.500, 0.296)
F (0.000, 0.500, 0.704)
F (0.001, 0.000, 0.758)
F (0.499, 0.293, 0.273)
F (0.499, 0.707, 0.273)
F (0.501, 0.293, 0.727)
F (0.501, 0.707, 0.727)
F (0.999, 0.000, 0.242)

Summary:
ΔE_f (raw)   -3.488 eV/atom



(3)
First-principles (PBE-GGA) data for an optimized crystal structure of Fe5Co, as listed in Alexandria.

a b c (Å): 4.595 4.595 4.061
angles (deg): 90.00 90.00 120.00
Positions (direct):
Fe (0.000, 0.500, 0.000)
Fe (0.333, 0.667, 0.500)
Fe (0.500, 0.000, 0.000)
Fe (0.500, 0.500, 0.000)
Fe (0.667, 0.333, 0.500)
Co (0.000, 0.000, 0.500)

Summary:
Calculated formation energy   0.407 eV/atom